w.
The following is a DFT calculation (PBE) of crystalline DyHoSnRu at its relaxed geometry.

Geometry as CIF:
```
data_DyHoSnRu
_cell_length_a 3.6372
_cell_length_b 4.5907
_cell_length_c 11.6323
_cell_angle_alpha 90.00
_cell_angle_beta 90.00
_cell_angle_gamma 90.00
_symmetry_space_group_name_H-M 'A m m 2'
_symmetry_Int_Tables_number 38
loop_
_symmetry_equiv_pos_as_xyz
'x,y,z'
'-x,-y,z'
'-x,y,z'
'x,-y,z'
'x,y+1/2,z+1/2'
'-x,-y+1/2,z+1/2'
'-x,y+1/2,z+1/2'
'x,-y+1/2,z+1/2'
loop_
_atom_site_label
_atom_site_fract_x
_atom_site_fract_y
_atom_site_fract_z
_atom_site_occupancy
Dy1 0.0000 0.0000 0.0000 1
Ho1 0.5000 0.0000 0.3016 1
Sn1 0.5000 0.0000 0.5959 1
Ru1 0.0000 0.0000 0.7691 1
```

total magnetization = 0.0 Bohr magnetons per cell
DOS(E_F) = 3.56 states/eV per cell

=====

x.
The following is a DFT calculation (PBE) of crystalline DyHoSnRu at its relaxed geometry.

Geometry as CIF:
```
data_DyHoSnRu
_cell_length_a 7.1555
_cell_length_b 7.1555
_cell_length_c 7.1555
_cell_angle_alpha 90.00
_cell_angle_beta 90.00
_cell_angle_gamma 90.00
_symmetry_space_group_name_H-M 'F -4 3 m'
_symmetry_Int_Tables_number 216
_symmetry_space_group_name_Hall 'F -4 2 3'
loop_
_atom_site_label
_atom_site_fract_x
_atom_site_fract_y
_atom_site_fract_z
_atom_site_occupancy
Dy1 0.0000 0.0000 0.0000 1
Ho1 0.0000 0.0000 0.5000 1
Sn1 0.2500 0.2500 0.7500 1
Ru1 0.2500 0.2500 0.2500 1
```

total magnetization = 0.0 Bohr magnetons per cell
DOS(E_F) = 10.09 states/eV per cell

=====

Most stable pick: w. Distance to second place: 8.1 kJ/mol of atoms.

=====

w.
The following is a DFT calculation (PBE) of crystalline DyHoS3 at its relaxed geometry.

Geometry as CIF:
```
data_DyHoS3
_cell_length_a 7.7236
_cell_length_b 3.8738
_cell_length_c 7.7392
_cell_angle_alpha 90.00
_cell_angle_beta 94.41
_cell_angle_gamma 90.00
_symmetry_space_group_name_H-M 'P 1 21/m 1'
_symmetry_Int_Tables_number 11
loop_
_symmetry_equiv_pos_as_xyz
'x,y,z'
'-x,-y,-z'
'-x,y+1/2,-z'
'x,-y+1/2,z'
loop_
_atom_site_label
_atom_site_fract_x
_atom_site_fract_y
_atom_site_fract_z
_atom_site_occupancy
Dy1 0.2313 0.2500 0.3823 1
Ho1 0.3173 0.2500 0.8547 1
S1 0.0170 0.2500 0.6772 1
S2 0.3206 0.7500 0.1049 1
S3 0.3861 0.7500 0.6217 1
```

total magnetization = 0.0 Bohr magnetons per cell

=====

x.
The following is a DFT calculation (PBE) of crystalline DyHoS3 at its relaxed geometry.

Geometry as CIF:
```
data_DyHoS3
_cell_length_a 15.8810
_cell_length_b 4.0882
_cell_length_c 8.3150
_cell_angle_alpha 90.00
_cell_angle_beta 117.40
_cell_angle_gamma 90.00
_symmetry_space_group_name_H-M 'C 1 2/m 1'
_symmetry_Int_Tables_number 12
loop_
_symmetry_equiv_pos_as_xyz
'x,y,z'
'-x,-y,-z'
'-x,y,-z'
'x,-y,z'
'x+1/2,y+1/2,z'
'-x+1/2,-y+1/2,-z'
'-x+1/2,y+1/2,-z'
'x+1/2,-y+1/2,z'
loop_
_atom_site_label
_atom_site_fract_x
_atom_site_fract_y
_atom_site_fract_z
_atom_site_occupancy
Dy1 0.1307 0.0000 0.2915 1
Ho1 0.1473 0.5000 0.7611 1
S1 0.0449 0.5000 0.3617 1
S2 0.1445 0.0000 0.9752 1
S3 0.2338 0.0000 0.6560 1
```

total magnetization = 0.0 Bohr magnetons per cell
DOS(E_F) = 0.00 states/eV per cell

=====

Most stable pick: w. Distance to second place: 1.5 kJ/mol of atoms.

=====

w.
The following is a DFT calculation (PBE) of crystalline Dy2HoS4 at its relaxed geometry.

Geometry as CIF:
```
data_Dy2HoS4
_cell_length_a 7.8339
_cell_length_b 7.8445
_cell_length_c 10.8990
_cell_angle_alpha 90.00
_cell_angle_beta 90.00
_cell_angle_gamma 90.00
_symmetry_space_group_name_H-M 'I m m a'
_symmetry_Int_Tables_number 74
_symmetry_space_group_name_Hall '-I 2b 2'
loop_
_atom_site_label
_atom_site_fract_x
_atom_site_fract_y
_atom_site_fract_z
_atom_site_occupancy
Dy1 0.0000 0.0000 0.0000 1
Dy2 0.2500 0.2500 0.2500 1
Ho1 0.2500 0.2500 0.7500 1
S1 0.0000 0.0011 0.7475 1
S2 0.2425 0.2500 0.9995 1
```

total magnetization = 0.0 Bohr magnetons per cell
DOS(E_F) = 7.24 states/eV per cell

=====

x.
The following is a DFT calculation (PBE) of crystalline Dy2HoS4 at its relaxed geometry.

Geometry as CIF:
```
data_Dy2HoS4
_cell_length_a 3.7924
_cell_length_b 12.9197
_cell_length_c 13.1050
_cell_angle_alpha 90.00
_cell_angle_beta 90.00
_cell_angle_gamma 90.00
_symmetry_space_group_name_H-M 'C m c m'
_symmetry_Int_Tables_number 63
_symmetry_space_group_name_Hall '-C 2c 2'
loop_
_atom_site_label
_atom_site_fract_x
_atom_site_fract_y
_atom_site_fract_z
_atom_site_occupancy
Dy1 0.0000 0.1294 0.0701 1
Ho1 0.0000 0.3728 0.2500 1
S1 0.0000 0.0255 0.2500 1
S2 0.0000 0.2232 0.6230 1
S3 0.0000 0.5000 0.0000 1
```

total magnetization = 0.0 Bohr magnetons per cell
DOS(E_F) = 8.25 states/eV per cell

=====

Most stable pick: w. Distance to second place: 2.5 kJ/mol of atoms.

=====

w.
The following is a DFT calculation (PBE) of crystalline DyHoS2 at its relaxed geometry.

Geometry as CIF:
```
data_DyHoS2
_cell_length_a 6.7419
_cell_length_b 3.9085
_cell_length_c 6.7305
_cell_angle_alpha 90.00
_cell_angle_beta 109.69
_cell_angle_gamma 90.00
_symmetry_space_group_name_H-M 'C 1 2/m 1'
_symmetry_Int_Tables_number 12
loop_
_symmetry_equiv_pos_as_xyz
'x,y,z'
'-x,-y,-z'
'-x,y,-z'
'x,-y,z'
'x+1/2,y+1/2,z'
'-x+1/2,-y+1/2,-z'
'-x+1/2,y+1/2,-z'
'x+1/2,-y+1/2,z'
loop_
_atom_site_label
_atom_site_fract_x
_atom_site_fract_y
_atom_site_fract_z
_atom_site_occupancy
Dy1 0.0000 0.0000 0.0000 1
Ho1 0.0000 0.5000 0.5000 1
S1 0.2493 0.0000 0.7479 1
```

total magnetization = 0.0 Bohr magnetons per cell
DOS(E_F) = 3.14 states/eV per cell

=====

x.
The following is a DFT calculation (PBE) of crystalline DyHoS2 at its relaxed geometry.

Geometry as CIF:
```
data_DyHoS2
_cell_length_a 3.8151
_cell_length_b 3.8151
_cell_length_c 20.2100
_cell_angle_alpha 90.00
_cell_angle_beta 90.00
_cell_angle_gamma 120.00
_symmetry_space_group_name_H-M 'R 3 m'
_symmetry_Int_Tables_number 160
_symmetry_space_group_name_Hall 'R 3 -2"'
loop_
_atom_site_label
_atom_site_fract_x
_atom_site_fract_y
_atom_site_fract_z
_atom_site_occupancy
Dy1 0.0000 0.0000 0.0000 1
Ho1 0.0000 0.0000 0.8216 1
S1 0.0000 0.0000 0.2423 1
S2 0.0000 0.0000 0.4131 1
```

total magnetization = 0.0 Bohr magnetons per cell
DOS(E_F) = 2.06 states/eV per cell

=====

Most stable pick: w. Distance to second place: 2.8 kJ/mol of atoms.

=====

w.
The following is a DFT calculation (PBE) of crystalline Dy3HoS4 at its relaxed geometry.

Geometry as CIF:
```
data_Dy3HoS4
_cell_length_a 7.8557
_cell_length_b 11.0360
_cell_length_c 3.8679
_cell_angle_alpha 90.00
_cell_angle_beta 90.00
_cell_angle_gamma 90.00
_symmetry_space_group_name_H-M 'C m m m'
_symmetry_Int_Tables_number 65
_symmetry_space_group_name_Hall '-C 2 2'
loop_
_atom_site_label
_atom_site_fract_x
_atom_site_fract_y
_atom_site_fract_z
_atom_site_occupancy
Dy1 0.0000 0.0000 0.0000 1
Dy2 0.2500 0.2500 0.5000 1
Ho1 0.0000 0.5000 0.0000 1
S1 0.0000 0.2507 0.0000 1
S2 0.2486 0.5000 0.5000 1
```

total magnetization = 0.0 Bohr magnetons per cell
DOS(E_F) = 9.95 states/eV per cell

=====

x.
The following is a DFT calculation (PBE) of crystalline Dy3HoS4 at its relaxed geometry.

Geometry as CIF:
```
data_Dy3HoS4
_cell_length_a 5.5154
_cell_length_b 5.5154
_cell_length_c 5.5154
_cell_angle_alpha 90.00
_cell_angle_beta 90.00
_cell_angle_gamma 90.00
_symmetry_space_group_name_H-M 'P m -3 m'
_symmetry_Int_Tables_number 221
_symmetry_space_group_name_Hall '-P 4 2 3'
loop_
_atom_site_label
_atom_site_fract_x
_atom_site_fract_y
_atom_site_fract_z
_atom_site_occupancy
Dy1 0.0000 0.0000 0.5000 1
Ho1 0.5000 0.5000 0.5000 1
S1 0.0000 0.0000 0.0000 1
S2 0.0000 0.5000 0.5000 1
```

total magnetization = 0.0 Bohr magnetons per cell
DOS(E_F) = 4.42 states/eV per cell

=====

Most stable pick: w. Distance to second place: 0.8 kJ/mol of atoms.